Here is crystalline MnIn at its relaxed geometry from Alexandria. Energies are from PBE-GGA.

Cell and atoms, written as extended XYZ:
```
16
Lattice="-4.012 5.478 -4.588 -0.182 -5.339 -6.215 -7.144 -2.941 2.735" Properties=species:S:1:pos:R:3 pbc="T T T"
In -7.899 0.200 -3.148
Mn -9.936 1.663 -2.338
Mn -5.996 -1.743 -2.530
In -6.544 -2.315 -0.017
In -3.364 -0.831 -2.394
Mn -1.260 -0.311 -0.896
In -2.412 -3.738 -5.328
Mn -6.957 -6.751 -3.603
In -5.069 -0.774 -6.786
Mn -4.449 -2.276 -4.519
In -9.033 -2.232 -6.429
Mn -4.521 -0.203 -9.299
Mn -6.928 -1.712 -4.931
In -6.342 -4.196 -3.809
In -4.685 2.682 -4.363
Mn -5.300 0.128 -4.157
```

Calculated values
DOS at the Fermi energy: 0.7369 states/eV per atom
DFT formation energy: 840 meV/atom

***

Here is crystalline CsAcAs2 at its relaxed geometry from Alexandria. Energies are from PBE-GGA.

Cell and atoms, written as extended XYZ:
```
4
Lattice="4.772 0.000 0.000 2.386 4.133 0.000 2.386 1.378 8.325" Properties=species:S:1:pos:R:3 pbc="T T T"
As 2.386 1.378 1.518
Ac 0.000 0.000 0.000
Cs 4.772 2.755 4.162
As 7.158 4.133 6.807
```

Calculated values
DOS at the Fermi energy: 1.5285 states/eV per atom
distance to the lowest polymorph of the same formula: 292 meV/atom
DFT formation energy: -559 meV/atom

***

Here is crystalline Dy2Th3Tc2 at its relaxed geometry from Alexandria. Energies are from PBE-GGA.

Cell and atoms, written as extended XYZ:
```
7
Lattice="3.814 0.000 1.072 1.448 5.728 2.170 -0.331 -0.261 8.500" Properties=species:S:1:pos:R:3 pbc="T T T"
Th 1.907 0.000 0.536
Tc 3.238 0.485 3.120
Dy 1.263 2.708 2.828
Th 2.449 1.010 5.929
Th 2.482 4.457 5.813
Tc 1.692 4.982 8.622
Dy 3.668 2.759 8.914
```

Calculated values
DOS at the Fermi energy: 0.9095 states/eV per atom
DFT formation energy: -126 meV/atom

***

Here is crystalline YAu2SI at its relaxed geometry from Alexandria. Energies are from PBE-GGA.

Cell and atoms, written as extended XYZ:
```
5
Lattice="-2.128 4.343 -1.115 -4.714 -1.984 1.272 0.628 1.511 4.686" Properties=species:S:1:pos:R:3 pbc="T T T"
I -3.107 1.935 2.421
Y -2.357 -0.992 0.636
Au 0.314 0.755 2.343
S 0.000 0.000 0.000
Au -1.064 2.172 -0.557
```

Calculated values
raw formation energy: -337 meV per atom
DOS at the Fermi energy: 0.5045 states/eV per atom

***

Here is crystalline CrMoP2 at its relaxed geometry from Alexandria. Energies are from PBE-GGA.

Cell and atoms, written as extended XYZ:
```
4
Lattice="-3.781 -5.485 -3.378 -3.228 -6.695 -0.741 -5.542 -4.890 -1.081" Properties=species:S:1:pos:R:3 pbc="T T T"
P -3.092 -4.206 -1.281
P -12.545 -17.062 -5.198
Cr -6.377 -8.674 -2.643
Mo -9.363 -12.735 -3.880
```

Calculated values
DOS at the Fermi energy: 0.5573 states/eV per atom
distance to the lowest polymorph of the same formula: 490 meV/atom
DFT formation energy: -38 meV/atom

***

Here is crystalline Mn4VGa at its relaxed geometry from Alexandria. Energies are from PBE-GGA.

Cell and atoms, written as extended XYZ:
```
6
Lattice="2.877 0.001 0.002 1.435 4.361 1.390 -0.004 0.006 5.540" Properties=species:S:1:pos:R:3 pbc="T T T"
Mn 3.588 3.663 2.101
Ga 2.151 2.161 0.700
Mn 0.711 0.665 4.839
Mn 0.713 0.669 2.110
Mn 3.586 3.660 4.830
V 2.149 2.164 3.470
```

Calculated values
DOS at the Fermi energy: 0.8781 states/eV per atom
distance to the lowest polymorph of the same formula: 0 meV/atom
DFT formation energy: -100 meV/atom

***

Here is crystalline Si2NiIr at its relaxed geometry from Alexandria. Energies are from PBE-GGA.

Cell and atoms, written as extended XYZ:
```
4
Lattice="4.104 -0.013 -0.006 3.080 2.712 -0.006 0.777 0.292 4.586" Properties=species:S:1:pos:R:3 pbc="T T T"
Ir 1.990 0.748 1.143
Ni 5.971 2.243 3.430
Si 7.950 2.987 4.528
Si 3.992 1.500 2.332
```

Calculated values
raw formation energy: -378 meV per atom
DOS at the Fermi energy: 0.6757 states/eV per atom

***

Here is crystalline MgAlZn2 at its relaxed geometry from Alexandria. Energies are from PBE-GGA.

Cell and atoms, written as extended XYZ:
```
4
Lattice="8.922 0.040 0.024 8.396 3.018 0.024 8.396 1.483 2.629" Properties=species:S:1:pos:R:3 pbc="T T T"
Mg 19.286 3.405 2.007
Zn 25.654 4.530 2.670
Zn 12.918 2.281 1.344
Al 6.429 1.135 0.669
```

Calculated values
DOS at the Fermi energy: 0.7351 states/eV per atom
DFT formation energy: 29 meV/atom

***

Here is crystalline LaInAg2 at its relaxed geometry from Alexandria. Energies are from PBE-GGA.

Cell and atoms, written as extended XYZ:
```
4
Lattice="4.951 0.000 0.000 0.000 4.951 0.000 0.000 0.000 4.064" Properties=species:S:1:pos:R:3 pbc="T T T"
La 0.000 2.475 2.032
In 2.475 0.000 2.032
Ag 0.000 0.000 0.000
Ag 2.475 2.475 0.000
```

Calculated values
DOS at the Fermi energy: 0.7119 states/eV per atom
DFT formation energy: -172 meV/atom

***

Here is crystalline CrHg2Cl at its relaxed geometry from Alexandria. Energies are from PBE-GGA.

Cell and atoms, written as extended XYZ:
```
4
Lattice="-0.945 2.702 -1.713 -2.513 -0.511 2.133 4.123 5.332 6.134" Properties=species:S:1:pos:R:3 pbc="T T T"
Hg -0.768 2.338 1.640
Cl 2.385 3.084 3.548
Hg 3.943 5.100 5.866
Cr 1.290 4.999 4.701
```

Calculated values
raw formation energy: -23 meV per atom
DOS at the Fermi energy: 0.5875 states/eV per atom
distance to the lowest polymorph of the same formula: 72 meV/atom

***

Here is crystalline ScNb3Au at its relaxed geometry from Alexandria. Energies are from PBE-GGA.

Cell and atoms, written as extended XYZ:
```
5
Lattice="-0.204 -3.850 -2.713 4.396 -1.130 1.274 -1.691 -2.475 3.639" Properties=species:S:1:pos:R:3 pbc="T T T"
Sc 0.000 0.000 0.000
Nb -0.102 -1.925 -1.357
Au 1.251 -3.728 1.100
Nb -0.845 -1.237 1.819
Nb 2.198 -0.565 0.637
```

Calculated values
DOS at the Fermi energy: 1.4313 states/eV per atom
distance to the lowest polymorph of the same formula: 235 meV/atom
DFT formation energy: 1532 meV/atom

***

Here is crystalline TiPSeN2 at its relaxed geometry from Alexandria. Energies are from PBE-GGA.

Cell and atoms, written as extended XYZ:
```
5
Lattice="-0.027 -3.812 -0.375 0.086 -0.376 3.811 -5.515 0.027 0.128" Properties=species:S:1:pos:R:3 pbc="T T T"
Se -2.757 0.014 0.064
N -0.014 -1.906 -0.188
Ti 0.000 0.000 0.000
N 0.043 -0.188 1.906
P -2.728 -2.080 1.782
```

Calculated values
raw formation energy: 601 meV per atom
DOS at the Fermi energy: 0.6746 states/eV per atom
distance to the lowest polymorph of the same formula: 8 meV/atom

***

Here is crystalline SrYCo2 at its relaxed geometry from Alexandria. Energies are from PBE-GGA.

Cell and atoms, written as extended XYZ:
```
4
Lattice="-5.071 -2.888 -0.989 -3.073 -2.551 4.369 2.611 5.151 -1.298" Properties=species:S:1:pos:R:3 pbc="T T T"
Sr -4.072 -2.719 1.690
Co -2.267 -0.059 2.380
Y -3.266 -0.228 -0.298
Co 0.000 0.000 0.000
```

Calculated values
DOS at the Fermi energy: 1.5434 states/eV per atom
distance to the lowest polymorph of the same formula: 587 meV/atom
DFT formation energy: 560 meV/atom

***

Here is crystalline NaPt2Au at its relaxed geometry from Alexandria. Energies are from PBE-GGA.

Cell and atoms, written as extended XYZ:
```
8
Lattice="4.599 0.000 0.000 0.000 4.599 0.000 2.299 2.299 9.448" Properties=species:S:1:pos:R:3 pbc="T T T"
Au 4.599 2.299 4.724
Na 2.299 4.599 4.724
Pt 3.449 2.736 7.086
Na 2.299 2.299 0.000
Pt 5.748 1.863 7.086
Pt 5.035 3.449 2.362
Pt 4.162 1.150 2.362
Au 0.000 0.000 0.000
```

Calculated values
DOS at the Fermi energy: 0.4943 states/eV per atom
distance to the lowest polymorph of the same formula: 123 meV/atom
DFT formation energy: 234 meV/atom

***

Here is crystalline PaSnBiO6 at its relaxed geometry from Alexandria. Energies are from PBE-GGA.

Cell and atoms, written as extended XYZ:
```
18
Lattice="5.670 0.000 0.000 -2.835 4.910 0.000 0.000 0.000 9.924" Properties=species:S:1:pos:R:3 pbc="T T T"
O -1.784 3.208 8.568
O 3.670 0.059 3.606
Bi 0.000 0.000 0.000
Pa 0.000 3.274 2.481
Sn 2.835 1.637 2.481
Bi 0.000 0.000 4.962
Pa 2.835 1.637 7.443
O 3.784 3.149 3.606
O -0.835 4.851 6.318
O 2.000 0.059 1.356
O 4.619 1.703 1.356
O -0.949 1.762 6.318
O 1.051 1.703 3.606
O 0.949 1.762 8.568
O 0.835 4.851 8.568
O 1.784 3.208 6.318
O 1.886 3.149 1.356
Sn 0.000 3.274 7.443
```

Calculated values
raw formation energy: -2202 meV per atom
DOS at the Fermi energy: 0.0000 states/eV per atom

***

Here is crystalline CsU2HgI8 at its relaxed geometry from Alexandria. Energies are from PBE-GGA.

Cell and atoms, written as extended XYZ:
```
12
Lattice="-4.408 1.399 -7.297 8.355 -2.169 -0.349 -2.243 -8.594 -0.294" Properties=species:S:1:pos:R:3 pbc="T T T"
I -1.014 -7.175 -7.351
Cs -1.121 -4.297 -0.147
I -1.090 -3.380 -5.103
I -4.312 -6.393 -5.058
I 2.795 -5.983 -2.836
I -0.765 -7.380 -3.271
U 2.034 -8.900 -2.935
U -0.329 -0.462 -5.004
I 6.017 -2.970 -2.882
I 2.719 -2.188 -0.589
Hg 0.000 0.000 0.000
I 2.470 -1.983 -4.668
```

Calculated values
raw formation energy: -812 meV per atom
DOS at the Fermi energy: 1.2564 states/eV per atom

***

Here is crystalline Mg2SiB at its relaxed geometry from Alexandria. Energies are from PBE-GGA.

Cell and atoms, written as extended XYZ:
```
4
Lattice="3.403 0.000 0.000 -1.702 2.947 0.000 0.000 0.000 6.683" Properties=species:S:1:pos:R:3 pbc="T T T"
Mg 0.000 1.965 3.924
Si 0.000 0.000 5.982
Mg 1.702 0.982 1.393
B 1.702 0.982 5.556
```

Calculated values
raw formation energy: -3 meV per atom
DOS at the Fermi energy: 0.4740 states/eV per atom
distance to the lowest polymorph of the same formula: 0 meV/atom

***

Here is crystalline Ca3MoPd at its relaxed geometry from Alexandria. Energies are from PBE-GGA.

Cell and atoms, written as extended XYZ:
```
5
Lattice="5.492 0.000 0.000 0.000 5.492 0.000 0.000 0.000 5.492" Properties=species:S:1:pos:R:3 pbc="T T T"
Ca 2.746 0.000 0.000
Ca 0.000 2.746 0.000
Pd 0.000 0.000 0.000
Mo 2.746 2.746 2.746
Ca 0.000 0.000 2.746
```

Calculated values
DOS at the Fermi energy: 0.7060 states/eV per atom
distance to the lowest polymorph of the same formula: 0 meV/atom
DFT formation energy: 490 meV/atom

***

Here is crystalline NaCu2Br6 at its relaxed geometry from Alexandria. Energies are from PBE-GGA.

Cell and atoms, written as extended XYZ:
```
18
Lattice="-4.538 -4.467 -1.702 4.819 -7.624 -3.212 -0.979 -5.827 7.533" Properties=species:S:1:pos:R:3 pbc="T T T"
Br -1.245 -2.807 0.930
Br -1.050 -9.925 4.525
Br 0.351 -7.993 -1.906
Na -1.327 -7.188 5.650
Cu -0.354 -13.116 0.823
Cu -0.345 -4.803 1.797
Na 0.628 -10.731 -3.030
Br 0.547 -15.112 1.690
Br -1.206 -6.957 1.547
Br 1.931 -8.465 3.492
Br 1.889 -12.591 4.257
Cu -1.649 -7.335 -0.842
Br -0.187 -4.889 4.149
Br -2.588 -5.328 -1.637
Br 0.508 -10.961 1.073
Br -2.629 -9.453 -0.872
Br -0.511 -13.029 -1.529
Cu 0.951 -10.583 3.462
```

Calculated values
raw formation energy: -446 meV per atom
DOS at the Fermi energy: 0.8489 states/eV per atom

***

Here is crystalline LaPH3 at its relaxed geometry from Alexandria. Energies are from PBE-GGA.

Cell and atoms, written as extended XYZ:
```
5
Lattice="-0.614 0.731 3.650 -1.855 -3.267 0.342 3.227 -1.739 0.892" Properties=species:S:1:pos:R:3 pbc="T T T"
H 1.613 -0.870 0.446
H -0.307 0.365 1.825
P 0.000 0.000 0.000
H -0.928 -1.634 0.171
La 0.379 -2.138 2.442
```

Calculated values
DOS at the Fermi energy: 0.3469 states/eV per atom
distance to the lowest polymorph of the same formula: 0 meV/atom

***

Here is crystalline SrLi2RhC at its relaxed geometry from Alexandria. Energies are from PBE-GGA.

Cell and atoms, written as extended XYZ:
```
5
Lattice="-1.169 -2.295 3.635 -2.329 -2.828 -2.534 3.294 -2.339 -0.417" Properties=species:S:1:pos:R:3 pbc="T T T"
Rh 1.647 -1.170 -0.209
Li -0.585 -1.147 1.818
Sr -0.102 -3.731 0.342
Li -1.165 -1.414 -1.267
C 0.000 0.000 0.000
```

Calculated values
DOS at the Fermi energy: 0.2479 states/eV per atom
DFT formation energy: 54 meV/atom

***

Here is crystalline Mg2URh4 at its relaxed geometry from Alexandria. Energies are from PBE-GGA.

Cell and atoms, written as extended XYZ:
```
7
Lattice="5.119 0.133 -1.720 -2.513 4.362 -1.959 0.077 -0.133 5.400" Properties=species:S:1:pos:R:3 pbc="T T T"
Rh 1.341 2.181 0.860
Mg 2.598 0.000 1.840
Mg 1.303 2.247 -1.840
Rh 0.038 -0.067 2.700
U 0.000 0.000 0.000
Rh -1.257 2.181 -0.980
Rh 2.559 0.067 -0.860
```

Calculated values
DOS at the Fermi energy: 0.7763 states/eV per atom
DFT formation energy: -334 meV/atom

***

Here is crystalline Si2AsRu2 at its relaxed geometry from Alexandria. Energies are from PBE-GGA.

Cell and atoms, written as extended XYZ:
```
10
Lattice="7.108 0.000 0.000 0.000 7.108 0.000 0.000 0.000 2.841" Properties=species:S:1:pos:R:3 pbc="T T T"
Ru 2.459 6.013 0.000
Si 6.131 2.577 1.421
Si 2.577 0.977 1.421
Ru 6.013 4.649 0.000
Ru 4.649 1.095 0.000
Si 0.977 4.531 1.421
As 3.554 3.554 0.000
Si 4.531 6.131 1.421
As 0.000 0.000 0.000
Ru 1.095 2.459 0.000
```

Calculated values
raw formation energy: -284 meV per atom
DOS at the Fermi energy: 0.4444 states/eV per atom

***

Here is crystalline La2TiSi3Ir4 at its relaxed geometry from Alexandria. Energies are from PBE-GGA.

Cell and atoms, written as extended XYZ:
```
10
Lattice="-1.187 3.895 -0.866 0.732 -0.675 -4.042 -9.879 -3.287 -1.240" Properties=species:S:1:pos:R:3 pbc="T T T"
Ti -5.167 -0.034 -3.074
Ir -0.228 1.610 -2.454
Si -9.258 -0.935 -1.520
La -3.031 1.137 -0.739
Si -0.849 -0.742 -2.173
Ir -3.198 -1.523 -2.468
Si -4.940 -1.643 -0.620
Ir 0.000 0.000 0.000
La -7.076 -2.813 -2.955
Ir -6.909 -0.154 -1.226
```

Calculated values
raw formation energy: -1012 meV per atom
DOS at the Fermi energy: 0.4471 states/eV per atom

***

Here is crystalline Na3GeP2 at its relaxed geometry from Alexandria. Energies are from PBE-GGA.

Cell and atoms, written as extended XYZ:
```
12
Lattice="6.449 0.000 0.000 0.000 7.493 0.000 -3.224 -3.746 6.345" Properties=species:S:1:pos:R:3 pbc="T T T"
P 1.599 3.746 1.555
Na 3.224 5.619 0.000
Na 3.224 1.873 3.387
P -1.625 3.746 4.791
Ge 0.000 0.000 0.000
Na 3.224 -1.873 3.387
Na 0.000 5.619 2.958
Na 0.000 1.873 2.958
Na 3.224 1.873 0.000
P 1.625 0.000 4.791
Ge 0.000 3.746 0.000
P 4.849 0.000 1.555
```

Calculated values
DOS at the Fermi energy: 0.6537 states/eV per atom
DFT formation energy: -89 meV/atom